# Al3Cd5 PBE relaxed
# - Formation enthalpy at 0 K: 0.2039 eV/atom
data_Al3Cd5
_cell_length_a 8.4123
_cell_length_b 8.4123
_cell_length_c 5.7227
_cell_angle_alpha 90.00
_cell_angle_beta 90.00
_cell_angle_gamma 120.00
_symmetry_space_group_name_H-M 'P 63/m c m'
_symmetry_Int_Tables_number 193
_symmetry_space_group_name_Hall '-P 6c 2'
loop_
_atom_site_label
_atom_site_fract_x
_atom_site_fract_y
_atom_site_fract_z
Al1 0.0000 0.4128 0.2500
Cd1 0.0000 0.2179 0.7500
Cd2 0.3333 0.6667 0.0000



# Ti3InGe PBE relaxed
# - Formation enthalpy at 0 K: 0.1697 eV/atom
data_Ti3InGe
_cell_length_a 4.722
_cell_length_b 4.722
_cell_length_c 4.722
_cell_angle_alpha 90.00
_cell_angle_beta 90.00
_cell_angle_gamma 90.00
_symmetry_space_group_name_H-M 'P m -3 m'
_symmetry_Int_Tables_number 221
_symmetry_space_group_name_Hall '-P 4 2 3'
loop_
_atom_site_label
_atom_site_fract_x
_atom_site_fract_y
_atom_site_fract_z
Ti1 0.000 0.000 0.500
In1 0.500 0.500 0.500
Ge1 0.000 0.000 0.000



# CaY2P PBE relaxed
# - Formation enthalpy at 0 K: -0.4029 eV/atom
data_CaY2P
_cell_length_a 8.907
_cell_length_b 8.907
_cell_length_c 6.181
_cell_angle_alpha 90.00
_cell_angle_beta 90.00
_cell_angle_gamma 90.00
_symmetry_space_group_name_H-M 'I -4 2 d'
_symmetry_Int_Tables_number 122
_symmetry_space_group_name_Hall 'I -4 2bw'
loop_
_atom_site_label
_atom_site_fract_x
_atom_site_fract_y
_atom_site_fract_z
Ca1 0.000 0.000 0.000
Y1 0.159 0.250 0.625
P1 0.000 0.000 0.500



# La6Si2H PBE relaxed
# - Calculated total energy: -95.29 eV/cell
data_La6Si2H
_cell_length_a 6.439
_cell_length_b 8.051
_cell_length_c 11.633
_cell_angle_alpha 90.00
_cell_angle_beta 123.61
_cell_angle_gamma 90.00
_symmetry_space_group_name_H-M 'P 1 21/c 1'
_symmetry_Int_Tables_number 14
loop_
_symmetry_equiv_pos_as_xyz
'x,y,z'
'-x,-y,-z'
'-x,y+1/2,-z+1/2'
'x,-y+1/2,z+1/2'
loop_
_atom_site_label
_atom_site_fract_x
_atom_site_fract_y
_atom_site_fract_z
La1 0.071 0.173 0.450
La2 0.328 0.692 0.447
La3 0.369 0.028 0.244
Si1 0.173 0.121 0.755
H1 0.500 0.000 0.500



# Sr2GeAu PBE relaxed
# - Formation enthalpy at 0 K: -0.2889 eV/atom
data_Sr2GeAu
_cell_length_a 8.400
_cell_length_b 8.400
_cell_length_c 7.472
_cell_angle_alpha 90.00
_cell_angle_beta 90.00
_cell_angle_gamma 90.00
_symmetry_space_group_name_H-M 'I -4 2 d'
_symmetry_Int_Tables_number 122
_symmetry_space_group_name_Hall 'I -4 2bw'
loop_
_atom_site_label
_atom_site_fract_x
_atom_site_fract_y
_atom_site_fract_z
Sr1 0.247 0.250 0.125
Ge1 0.000 0.000 0.500
Au1 0.000 0.000 0.000



# Na2Tl12Sn5 PBE relaxed
# - Formation enthalpy at 0 K: 0.0091 eV/atom
data_Na2Tl12Sn5
_cell_length_a 18.897
_cell_length_b 11.025
_cell_length_c 5.671
_cell_angle_alpha 90.00
_cell_angle_beta 105.12
_cell_angle_gamma 90.00
_symmetry_space_group_name_H-M 'C 1 2/m 1'
_symmetry_Int_Tables_number 12
loop_
_symmetry_equiv_pos_as_xyz
'x,y,z'
'-x,-y,-z'
'-x,y,-z'
'x,-y,z'
'x+1/2,y+1/2,z'
'-x+1/2,-y+1/2,-z'
'-x+1/2,y+1/2,-z'
'x+1/2,-y+1/2,z'
loop_
_atom_site_label
_atom_site_fract_x
_atom_site_fract_y
_atom_site_fract_z
Na1 0.000 0.245 0.000
Tl1 0.094 0.500 0.185
Tl2 0.097 0.260 0.603
Tl3 0.101 0.000 0.070
Tl4 0.200 0.252 0.202
Sn1 0.000 0.000 0.500
Sn2 0.200 0.000 0.647
Sn3 0.203 0.500 0.784



# ScTa2Os PBE relaxed
# - Formation enthalpy at 0 K: 0.1251 eV/atom
data_ScTa2Os
_cell_length_a 3.0491
_cell_length_b 3.0491
_cell_length_c 27.2336
_cell_angle_alpha 90.00
_cell_angle_beta 90.00
_cell_angle_gamma 120.00
_symmetry_space_group_name_H-M 'R 3 m'
_symmetry_Int_Tables_number 160
_symmetry_space_group_name_Hall 'R 3 -2"'
loop_
_atom_site_label
_atom_site_fract_x
_atom_site_fract_y
_atom_site_fract_z
Sc1 0.0000 0.0000 0.0000
Ta1 0.0000 0.0000 0.5116
Ta2 0.0000 0.0000 0.7598
Os1 0.0000 0.0000 0.2518



# PrNdTmTh PBE relaxed
# - Formation enthalpy at 0 K: 0.2130 eV/atom
data_PrNdTmTh
_cell_length_a 8.128
_cell_length_b 8.128
_cell_length_c 8.128
_cell_angle_alpha 90.00
_cell_angle_beta 90.00
_cell_angle_gamma 90.00
_symmetry_space_group_name_H-M 'F -4 3 m'
_symmetry_Int_Tables_number 216
_symmetry_space_group_name_Hall 'F -4 2 3'
loop_
_atom_site_label
_atom_site_fract_x
_atom_site_fract_y
_atom_site_fract_z
Pr1 0.000 0.000 0.000
Nd1 0.000 0.000 0.500
Tm1 0.250 0.250 0.750
Th1 0.250 0.250 0.250